Material: Th5AsSe5
Method: DFT, PBE
State: relaxed

abc: 13.221 5.936 8.344
angles: 90.00 108.32 90.00
Space group C2/m (No. 12)
Symmetry-distinct sites (fractional):
Th: 0.000 0.000 0.000 (multiplicity 2)
Th: 0.164 0.500 0.329 (multiplicity 4)
Th: 0.168 0.500 0.838 (multiplicity 4)
As: 0.000 0.500 0.000 (multiplicity 2)
Se: 0.000 0.500 0.500 (multiplicity 2)
Se: 0.158 0.000 0.816 (multiplicity 4)
Se: 0.161 0.000 0.342 (multiplicity 4)

**Formation energy from raw total energies**: -1.5840 eV/atom

---

Material: PmErGe2Pd5
Method: DFT, PBE
State: relaxed

abc: 4.258 4.258 9.115
angles: 90.00 90.00 90.00
Space group P4/mmm (No. 123)
Symmetry-distinct sites (fractional):
Pm: 0.000 0.000 0.000 (multiplicity 1)
Er: 0.000 0.000 0.500 (multiplicity 1)
Ge: 0.500 0.500 0.367 (multiplicity 2)
Pd: 0.000 0.500 0.229 (multiplicity 4)
Pd: 0.500 0.500 0.000 (multiplicity 1)

**Energy relative to the elements**: -0.797 eV/atom

---

Material: Pm3Y4In
Method: DFT, PBE
State: relaxed

abc: 11.316 7.169 6.226
angles: 90.00 90.00 90.00
Space group Pmn2_1 (No. 31)
Symmetry-distinct sites (fractional):
Pm: 0.000 0.131 0.000 (multiplicity 2)
Pm: 0.244 0.384 0.199 (multiplicity 4)
Y: 0.000 0.374 0.530 (multiplicity 2)
Y: 0.000 0.873 0.534 (multiplicity 2)
Y: 0.236 0.872 0.178 (multiplicity 4)
In: 0.000 0.628 0.022 (multiplicity 2)

**Energy relative to the elements**: -0.109 eV/atom
**Energy above the lowest structure with this stoichiometry**: 0.06 eV per formula unit

---

Please write out number 1 again, unchanged.
Material: Th5AsSe5
Method: DFT, PBE
State: relaxed

abc: 13.221 5.936 8.344
angles: 90.00 108.32 90.00
Space group C2/m (No. 12)
Symmetry-distinct sites (fractional):
Th: 0.000 0.000 0.000 (multiplicity 2)
Th: 0.164 0.500 0.329 (multiplicity 4)
Th: 0.168 0.500 0.838 (multiplicity 4)
As: 0.000 0.500 0.000 (multiplicity 2)
Se: 0.000 0.500 0.500 (multiplicity 2)
Se: 0.158 0.000 0.816 (multiplicity 4)
Se: 0.161 0.000 0.342 (multiplicity 4)

**Formation energy from raw total energies**: -1.5840 eV/atom

---

What did the first record say?
Material: Th5AsSe5
Method: DFT, PBE
State: relaxed

abc: 13.221 5.936 8.344
angles: 90.00 108.32 90.00
Space group C2/m (No. 12)
Symmetry-distinct sites (fractional):
Th: 0.000 0.000 0.000 (multiplicity 2)
Th: 0.164 0.500 0.329 (multiplicity 4)
Th: 0.168 0.500 0.838 (multiplicity 4)
As: 0.000 0.500 0.000 (multiplicity 2)
Se: 0.000 0.500 0.500 (multiplicity 2)
Se: 0.158 0.000 0.816 (multiplicity 4)
Se: 0.161 0.000 0.342 (multiplicity 4)

**Formation energy from raw total energies**: -1.5840 eV/atom